Here is an optimized crystal structure of LaSb2Au2 from Alexandria. Energies are from PBE-GGA.

POSCAR file:
```
LaSb2Au2
1.0
8.0239 0.0000 0.0000
0.0000 8.0239 0.0000
0.0000 0.0000 3.8783
La Sb Au
2 4 4
Direct
0.0000 0.0000 0.0000
0.5000 0.5000 0.0000
0.1899 0.3101 0.5000
0.3101 0.8101 0.5000
0.6899 0.1899 0.5000
0.8101 0.6899 0.5000
0.1199 0.6199 0.0000
0.3801 0.1199 0.0000
0.6199 0.8801 0.0000
0.8801 0.3801 0.0000
```

Results
Mass density   10.3 g/cm³
E_form (uncorrected)   -0.51 eV per atom